A plane-wave DFT calculation with GGA+U was carried out for a relaxed MnPtO2F crystal.

The space group is P4/mmm (No. 123) and the conventional cell measures 3.934, 3.934 and 3.849 Å, with angles of 90.00, 90.00 and 90.00 degrees. The inequivalent atoms are Mn at (0.000, 0.000, 0.000), Pt at (0.500, 0.500, 0.500), O at (0.000, 0.500, 0.000) and F at (0.000, 0.000, 0.500).

The calculation puts the magnetization at 2.02 Bohr magnetons per cell. The raw total energy is -5.519 eV per atom.